# AlWSe2

AlWSe2 after structural relaxation (GGA-PBE, Alexandria via LeMat-Bulk).

## Properties
M_tot (μB/cell): 0.000
ΔE_f (raw) (eV per atom): 0.562

Lattice parameters (Å, degrees): 3.2620 4.0784 5.4139 90.00 90.00 90.00
Fractional positions:
Al (0.0000, 0.0000, 0.0000)
W (0.5000, 0.0000, 0.5000)
Se (0.0000, 0.5000, 0.5000)
Se (0.5000, 0.5000, 0.0000)